[1]
YMn2CuSb, relaxed, DFT PBE; ΔE_f (raw) = 268 kJ/mol of formula units; space group = No. 123
1.0
4.914 0.000 0.000
0.000 4.914 0.000
0.000 0.000 4.749
Y Mn Cu Sb
1 2 1 1
direct
0.000 0.000 0.000
0.000 0.500 0.500
0.500 0.000 0.500
0.500 0.500 0.000
0.500 0.500 0.500



[2]
Zr2MnCuSb, relaxed, DFT PBE; ΔE_f (raw) = 133 kJ/mol of formula units; space group = No. 123
1.0
4.923 0.000 0.000
0.000 4.923 0.000
0.000 0.000 4.542
Zr Mn Cu Sb
2 1 1 1
direct
0.000 0.500 0.000
0.500 0.000 0.000
0.000 0.000 0.500
0.000 0.000 0.000
0.500 0.500 0.500



[3]
ScMn2Cu, relaxed, DFT PBE; formation energy from the elements = 0.27 eV/atom; E above lowest polymorph = 274 meV per atom; space group = No. 12
1.0
2.671 -4.383 0.000
2.671 4.383 0.000
-1.187 0.000 2.519
Sc Mn Cu
1 2 1
direct
0.000 0.000 0.000
0.000 0.500 0.500
0.500 0.000 0.500
0.500 0.500 0.000



Number 1: volume 114.7 Å³/f.u.. Number 2: volume 110.1 Å³/f.u.. Number 3: volume 59.0 Å³/f.u..